#i
11
Lattice="-2.319 2.856 1.736 -5.323 -4.863 -7.024 -1.120 -7.684 6.427" Properties=species:S:1:pos:R:3 comment="GGA-PBE Cd4As2Cl5, relaxed" space_group=P-1 m_tot_mub_per_atom=0.00 pbc="T T T"
Cd -4.874 -3.198 -0.417
Cd -4.473 -3.250 -4.661
Cd -3.888 -6.493 1.556
Cd -4.289 -6.441 5.800
As -5.397 -8.415 2.724
As -3.365 -1.276 -1.585
Cl -4.984 -4.830 -2.684
Cl -3.778 -4.861 3.823
Cl -2.616 -4.647 0.230
Cl -1.159 1.428 0.868
Cl -6.146 -5.043 0.909

---

#ii
11
Lattice="3.322 0.000 0.000 0.000 8.640 0.000 -1.661 -4.320 9.964" Properties=species:S:1:pos:R:3 comment="GGA-PBE Cd4As2Cl5, relaxed" space_group=Immm m_tot_mub_per_atom=0.00 pbc="T T T"
Cd 0.000 2.251 0.000
Cd 1.661 4.320 1.680
Cd 0.000 6.389 0.000
Cd 0.000 0.000 8.283
As 0.000 0.000 4.840
As 1.661 4.320 5.123
Cl 1.661 -2.597 6.571
Cl 1.661 2.597 6.571
Cl 0.000 1.723 3.393
Cl 0.000 6.917 3.393
Cl 1.661 0.000 0.000

---

Most stable = #i

---

#i
11
Lattice="-7.623 -0.657 -2.928 -5.002 -2.373 5.768 -4.521 6.047 2.628" Properties=species:S:1:pos:R:3 comment="GGA-PBE CdAs2Cl8, relaxed" space_group=C2/m m_tot_mub_per_atom=0.00 pbc="T T T"
Cd 0.000 0.000 0.000
As -12.978 2.661 5.148
As -4.168 0.357 0.319
Cl -7.324 4.741 3.546
Cl -9.523 3.530 -0.038
Cl -9.846 2.881 6.219
Cl -7.301 0.136 -0.752
Cl -7.624 -0.513 5.506
Cl -9.823 -1.724 1.921
Cl -12.426 1.891 3.170
Cl -4.721 1.126 2.298

---

#ii
11
Lattice="-3.905 0.004 -0.381 -0.755 -8.056 4.666 0.963 5.860 8.004" Properties=species:S:1:pos:R:3 comment="GGA-PBE CdAs2Cl8, relaxed" space_group=P-1 m_tot_mub_per_atom=0.00 pbc="T T T"
Cd -1.953 0.002 -0.191
As -1.888 -3.884 5.924
As -1.809 1.692 6.366
Cl -2.820 -3.392 3.992
Cl -0.651 3.561 5.831
Cl -0.673 0.313 5.065
Cl 0.271 -1.065 11.383
Cl -3.024 -2.505 7.225
Cl -3.047 -5.754 6.459
Cl -0.878 1.199 8.298
Cl -3.968 -1.128 0.907

---

Most stable = #ii

---

#i
5
Lattice="-3.893 2.589 1.108 -0.578 -2.584 4.009 2.845 3.214 2.483" Properties=species:S:1:pos:R:3 comment="GGA-PBE CdAsP2Cl, relaxed" space_group=P4/mmm m_tot_mub_per_atom=0.00 pbc="T T T"
P -0.289 -1.292 2.004
P -1.946 1.295 0.554
As 0.000 0.000 0.000
Cl 1.422 1.607 1.241
Cd -0.813 1.610 3.800

---

#ii
5
Lattice="-1.192 3.206 3.738 -0.986 -3.923 3.050 4.708 -0.010 1.509" Properties=species:S:1:pos:R:3 comment="GGA-PBE CdAsP2Cl, relaxed" space_group=P4/mmm m_tot_mub_per_atom=0.07 pbc="T T T"
P -0.493 -1.962 1.525
P -0.596 1.603 1.869
As 1.265 -0.364 4.149
Cl 2.354 -0.005 0.755
Cd 0.000 0.000 0.000

---

Most stable = #i

---

#i
5
Lattice="-1.521 4.659 0.258 -4.206 -1.487 2.047 2.094 0.428 4.613" Properties=species:S:1:pos:R:3 comment="GGA-PBE CdAsPCl2, relaxed" space_group=P4/mmm m_tot_mub_per_atom=0.00 pbc="T T T"
P 1.047 0.214 2.307
As 0.000 0.000 0.000
Cl -2.103 -0.743 1.024
Cl -0.761 2.330 0.129
Cd -1.816 1.800 3.460

---

#ii
5
Lattice="4.980 0.000 0.000 0.000 4.980 0.000 0.000 0.000 5.428" Properties=species:S:1:pos:R:3 comment="GGA-PBE CdAsPCl2, relaxed" space_group=P4/mmm m_tot_mub_per_atom=0.09 pbc="T T T"
P 0.000 0.000 2.714
As 2.490 2.490 2.714
Cl 0.000 2.490 0.000
Cl 2.490 0.000 0.000
Cd 0.000 0.000 0.000

---

Most stable = #i

---

#i
5
Lattice="5.142 0.000 0.000 0.000 5.142 0.000 0.000 0.000 5.440" Properties=species:S:1:pos:R:3 comment="GGA-PBE CdAsSe2Cl, relaxed" space_group=P4/mmm m_tot_mub_per_atom=0.00 pbc="T T T"
As 0.000 0.000 2.720
Cl 2.571 2.571 2.720
Se 0.000 2.571 0.000
Se 2.571 0.000 0.000
Cd 0.000 0.000 0.000

---

#ii
5
Lattice="-0.129 -4.099 3.316 0.685 -3.302 -4.055 4.626 0.293 0.543" Properties=species:S:1:pos:R:3 comment="GGA-PBE CdAsSe2Cl, relaxed" space_group=P4/mmm m_tot_mub_per_atom=0.00 pbc="T T T"
As 2.313 0.147 0.271
Cl 0.000 0.000 0.000
Se 0.343 -1.651 -2.028
Se -0.065 -2.050 1.658
Cd 2.591 -3.554 -0.098

---

Most stable = #i

---

#i
5
Lattice="4.888 0.000 0.000 0.000 4.888 0.000 0.000 0.000 5.262" Properties=species:S:1:pos:R:3 comment="GGA-PBE CdAs2SeCl, relaxed" space_group=P4/mmm m_tot_mub_per_atom=0.00 pbc="T T T"
As 0.000 2.444 0.000
As 2.444 0.000 0.000
Cl 0.000 0.000 0.000
Se 0.000 0.000 2.631
Cd 2.444 2.444 2.631

---

#ii
5
Lattice="-0.928 -5.085 1.079 5.168 -0.785 0.747 -0.543 1.154 4.968" Properties=species:S:1:pos:R:3 comment="GGA-PBE CdAs2SeCl, relaxed" space_group=P4/mmm m_tot_mub_per_atom=0.15 pbc="T T T"
As 2.584 -0.392 0.373
As -0.464 -2.543 0.540
Cl 1.849 -2.358 3.397
Se -0.271 0.577 2.484
Cd 0.000 0.000 0.000

---

Most stable = #ii